one.
This record from the Alexandria database describes HoEr2Th after structural relaxation. The functional is GGA-PBE.

Computed properties:
SG = No. 225
total moment = 0.010 μB per cell
mass density = 9.62 Mg/m³

Unit cell a=7.963 b=7.963 c=7.963 alpha=90.00 beta=90.00 gamma=90.00
Sites, in units of the cell vectors:
Ho 0.000 0.000 0.000
Ho 0.000 0.500 0.500
Ho 0.500 0.000 0.500
Ho 0.500 0.500 0.000
Er 0.250 0.250 0.250
Er 0.250 0.250 0.750
Er 0.250 0.750 0.250
Er 0.250 0.750 0.750
Er 0.750 0.250 0.250
Er 0.750 0.250 0.750
Er 0.750 0.750 0.250
Er 0.750 0.750 0.750
Th 0.000 0.000 0.500
Th 0.000 0.500 0.000
Th 0.500 0.000 0.000
Th 0.500 0.500 0.500

two.
This record from the Alexandria database describes HoEr2Th after structural relaxation. The functional is GGA-PBE.

Computed properties:
SG = No. 2
total moment = 0.000 μB per cell
mass density = 9.55 Mg/m³

Unit cell a=3.491 b=5.592 c=13.027 alpha=89.97 beta=89.93 gamma=90.00
Sites, in units of the cell vectors:
Ho 0.248 0.249 0.297
Ho 0.752 0.751 0.703
Er 0.251 0.250 0.563
Er 0.252 0.251 0.815
Er 0.748 0.749 0.185
Er 0.749 0.750 0.437
Th 0.249 0.750 0.957
Th 0.751 0.250 0.043

three.
This record from the Alexandria database describes HoEr2Th after structural relaxation. The functional is GGA-PBE.

Computed properties:
SG = No. 166
total moment = 0.000 μB per cell
mass density = 9.75 Mg/m³

Unit cell a=3.547 b=3.547 c=34.296 alpha=90.00 beta=90.00 gamma=120.00
Sites, in units of the cell vectors:
Ho 0.000 0.000 0.000
Ho 0.333 0.667 0.667
Ho 0.667 0.333 0.333
Er 0.000 0.000 0.249
Er 0.000 0.000 0.751
Er 0.333 0.667 0.418
Er 0.333 0.667 0.916
Er 0.667 0.333 0.084
Er 0.667 0.333 0.582
Th 0.000 0.000 0.500
Th 0.333 0.667 0.167
Th 0.667 0.333 0.833

It is three that is most stable; the runner-up trails by 5.3 kJ/mol of atoms.

one.
This record from the Alexandria database describes HoEr2Th after structural relaxation. The functional is GGA-PBE.

Computed properties:
SG = No. 160
total moment = 0.000 μB per cell
mass density = 9.74 Mg/m³

Unit cell a=3.541 b=3.541 c=34.447 alpha=90.00 beta=90.00 gamma=120.00
Sites, in units of the cell vectors:
Ho 0.000 0.000 0.000
Ho 0.333 0.667 0.667
Ho 0.667 0.333 0.333
Er 0.000 0.000 0.416
Er 0.000 0.000 0.584
Er 0.333 0.667 0.082
Er 0.333 0.667 0.251
Er 0.667 0.333 0.749
Er 0.667 0.333 0.917
Th 0.000 0.000 0.166
Th 0.333 0.667 0.832
Th 0.667 0.333 0.499

two.
This record from the Alexandria database describes HoEr2Th after structural relaxation. The functional is GGA-PBE.

Computed properties:
SG = No. 123
total moment = 0.000 μB per cell
mass density = 9.71 Mg/m³

Unit cell a=3.533 b=3.533 c=10.019 alpha=90.00 beta=90.00 gamma=90.00
Sites, in units of the cell vectors:
Ho 0.000 0.000 0.000
Er 0.500 0.500 0.253
Er 0.500 0.500 0.747
Th 0.000 0.000 0.500

It is two that is most stable; the runner-up trails by 0.8 kJ/mol of atoms.

one.
This record from the Alexandria database describes HoEr2Th after structural relaxation. The functional is GGA-PBE.

Computed properties:
SG = No. 164
total moment = 0.000 μB per cell
mass density = 9.78 Mg/m³

Unit cell a=3.560 b=3.560 c=11.305 alpha=90.00 beta=90.00 gamma=120.00
Sites, in units of the cell vectors:
Ho 0.000 0.000 0.000
Er 0.333 0.667 0.747
Er 0.667 0.333 0.253
Th 0.000 0.000 0.500

two.
This record from the Alexandria database describes HoEr2Th after structural relaxation. The functional is GGA-PBE.

Computed properties:
SG = No. 123
total moment = 0.001 μB per cell
mass density = 9.78 Mg/m³

Unit cell a=4.999 b=4.999 c=4.972 alpha=90.00 beta=90.00 gamma=90.00
Sites, in units of the cell vectors:
Ho 0.000 0.000 0.000
Er 0.000 0.500 0.500
Er 0.500 0.000 0.500
Th 0.500 0.500 0.000

It is one that is most stable; the runner-up trails by 4.4 kJ/mol of atoms.

one.
This record from the Alexandria database describes Ho7Er12Th after structural relaxation. The functional is GGA-PBE.

Computed properties:
SG = No. 229
total moment = 0.004 μB per cell
mass density = 8.09 Mg/m³

Unit cell a=9.671 b=9.671 c=9.671 alpha=109.47 beta=109.47 gamma=109.47
Sites, in units of the cell vectors:
Ho 0.000 0.000 0.500
Ho 0.000 0.500 0.000
Ho 0.000 0.500 0.500
Ho 0.500 0.000 0.000
Ho 0.500 0.000 0.500
Ho 0.500 0.500 0.000
Ho 0.500 0.500 0.500
Er 0.000 0.247 0.753
Er 0.000 0.753 0.247
Er 0.247 0.000 0.753
Er 0.247 0.247 0.494
Er 0.247 0.494 0.247
Er 0.247 0.753 0.000
Er 0.494 0.247 0.247
Er 0.506 0.753 0.753
Er 0.753 0.000 0.247
Er 0.753 0.247 0.000
Er 0.753 0.506 0.753
Er 0.753 0.753 0.506
Th 0.000 0.000 0.000

two.
This record from the Alexandria database describes Ho7Er12Th after structural relaxation. The functional is GGA-PBE.

Computed properties:
SG = No. 148
total moment = 0.000 μB per cell
mass density = 8.79 Mg/m³

Unit cell a=8.624 b=8.624 c=8.624 alpha=89.09 beta=89.09 gamma=89.09
Sites, in units of the cell vectors:
Ho 0.000 0.000 0.000
Ho 0.120 0.452 0.345
Ho 0.345 0.120 0.452
Ho 0.452 0.345 0.120
Ho 0.548 0.655 0.880
Ho 0.655 0.880 0.548
Ho 0.880 0.548 0.655
Er 0.002 0.119 0.646
Er 0.119 0.646 0.002
Er 0.217 0.758 0.636
Er 0.242 0.364 0.783
Er 0.354 0.998 0.881
Er 0.364 0.783 0.242
Er 0.636 0.217 0.758
Er 0.646 0.002 0.119
Er 0.758 0.636 0.217
Er 0.783 0.242 0.364
Er 0.881 0.354 0.998
Er 0.998 0.881 0.354
Th 0.500 0.500 0.500

It is two that is most stable; the runner-up trails by 51.1 kJ/mol of atoms.

one.
This record from the Alexandria database describes Ho5ErTh after structural relaxation. The functional is GGA-PBE.

Computed properties:
SG = No. 15
total moment = 0.001 μB per cell
mass density = 9.10 Mg/m³

Unit cell a=9.238 b=9.238 c=8.579 alpha=93.79 beta=93.79 gamma=141.48
Sites, in units of the cell vectors:
Ho 0.014 0.387 0.646
Ho 0.148 0.852 0.750
Ho 0.230 0.540 0.038
Ho 0.387 0.014 0.146
Ho 0.460 0.770 0.462
Ho 0.540 0.230 0.538
Ho 0.613 0.986 0.854
Ho 0.770 0.460 0.962
Ho 0.852 0.148 0.250
Ho 0.986 0.613 0.354
Er 0.487 0.513 0.750
Er 0.513 0.487 0.250
Th 0.000 0.000 0.000
Th 0.000 0.000 0.500

two.
This record from the Alexandria database describes Ho5ErTh after structural relaxation. The functional is GGA-PBE.

Computed properties:
SG = No. 44
total moment = 0.001 μB per cell
mass density = 9.15 Mg/m³

Unit cell a=6.534 b=6.542 c=10.396 alpha=90.00 beta=90.00 gamma=90.00
Sites, in units of the cell vectors:
Ho 0.000 0.000 0.000
Ho 0.000 0.273 0.445
Ho 0.000 0.727 0.445
Ho 0.227 0.500 0.751
Ho 0.273 0.000 0.251
Ho 0.500 0.227 0.945
Ho 0.500 0.500 0.500
Ho 0.500 0.773 0.945
Ho 0.727 0.000 0.251
Ho 0.773 0.500 0.751
Er 0.000 0.500 0.100
Er 0.500 0.000 0.600
Th 0.000 0.000 0.706
Th 0.500 0.500 0.206

It is one that is most stable; the runner-up trails by 9.1 kJ/mol of atoms.

one.
This record from the Alexandria database describes Ho9ErTh2 after structural relaxation. The functional is GGA-PBE.

Computed properties:
SG = No. 191
total moment = 0.001 μB per cell
mass density = 9.22 Mg/m³

Unit cell a=11.283 b=11.283 c=3.458 alpha=90.00 beta=90.00 gamma=120.00
Sites, in units of the cell vectors:
Ho 0.000 0.500 0.000
Ho 0.173 0.346 0.500
Ho 0.173 0.827 0.500
Ho 0.346 0.173 0.500
Ho 0.500 0.000 0.000
Ho 0.500 0.500 0.000
Ho 0.654 0.827 0.500
Ho 0.827 0.173 0.500
Ho 0.827 0.654 0.500
Er 0.000 0.000 0.000
Th 0.333 0.667 0.000
Th 0.667 0.333 0.000

two.
This record from the Alexandria database describes Ho9ErTh2 after structural relaxation. The functional is GGA-PBE.

Computed properties:
SG = No. 123
total moment = 0.000 μB per cell
mass density = 9.40 Mg/m³

Unit cell a=5.001 b=5.001 c=14.944 alpha=90.00 beta=90.00 gamma=90.00
Sites, in units of the cell vectors:
Ho 0.000 0.000 0.000
Ho 0.000 0.000 0.332
Ho 0.000 0.000 0.668
Ho 0.000 0.500 0.167
Ho 0.000 0.500 0.500
Ho 0.000 0.500 0.833
Ho 0.500 0.000 0.167
Ho 0.500 0.000 0.500
Ho 0.500 0.000 0.833
Er 0.500 0.500 0.000
Th 0.500 0.500 0.334
Th 0.500 0.500 0.666

It is two that is most stable; the runner-up trails by 7.5 kJ/mol of atoms.

one.
This record from the Alexandria database describes Ho4ErTh after structural relaxation. The functional is GGA-PBE.

Computed properties:
SG = No. 216
total moment = 1.859 μB per cell
mass density = 9.05 Mg/m³

Unit cell a=6.502 b=6.502 c=6.502 alpha=60.00 beta=60.00 gamma=60.00
Sites, in units of the cell vectors:
Ho 0.125 0.125 0.125
Ho 0.125 0.125 0.626
Ho 0.125 0.626 0.125
Ho 0.626 0.125 0.125
Er 0.500 0.500 0.500
Th 0.750 0.750 0.750

two.
This record from the Alexandria database describes Ho4ErTh after structural relaxation. The functional is GGA-PBE.

Computed properties:
SG = No. 65
total moment = 0.001 μB per cell
mass density = 7.65 Mg/m³

Unit cell a=11.521 b=11.759 c=3.393 alpha=90.00 beta=90.00 gamma=90.00
Sites, in units of the cell vectors:
Ho 0.000 0.231 0.000
Ho 0.000 0.769 0.000
Ho 0.239 0.500 0.500
Ho 0.261 0.000 0.500
Ho 0.500 0.269 0.000
Ho 0.500 0.731 0.000
Ho 0.739 0.000 0.500
Ho 0.761 0.500 0.500
Er 0.000 0.000 0.500
Er 0.500 0.500 0.500
Th 0.000 0.500 0.000
Th 0.500 0.000 0.000

It is one that is most stable; the runner-up trails by 41.2 kJ/mol of atoms.

one.
This record from the Alexandria database describes Ho4Er3Th2 after structural relaxation. The functional is GGA-PBE.

Computed properties:
SG = No. 12
total moment = 0.000 μB per cell
mass density = 9.59 Mg/m³

Unit cell a=7.907 b=7.907 c=7.894 alpha=107.48 beta=107.48 gamma=36.95
Sites, in units of the cell vectors:
Ho 0.055 0.055 0.333
Ho 0.278 0.278 0.671
Ho 0.722 0.722 0.329
Ho 0.945 0.945 0.667
Er 0.388 0.388 0.326
Er 0.500 0.500 0.000
Er 0.612 0.612 0.674
Th 0.168 0.168 0.001
Th 0.832 0.832 0.999

two.
This record from the Alexandria database describes Ho4Er3Th2 after structural relaxation. The functional is GGA-PBE.

Computed properties:
SG = No. 15
total moment = 0.006 μB per cell
mass density = 9.58 Mg/m³

Unit cell a=9.915 b=9.915 c=6.087 alpha=96.04 beta=96.04 gamma=71.73
Sites, in units of the cell vectors:
Ho 0.088 0.813 0.982
Ho 0.146 0.419 0.154
Ho 0.187 0.912 0.518
Ho 0.419 0.146 0.654
Ho 0.581 0.854 0.346
Ho 0.813 0.088 0.482
Ho 0.854 0.581 0.846
Ho 0.912 0.187 0.018
Er 0.062 0.272 0.587
Er 0.272 0.062 0.087
Er 0.391 0.609 0.250
Er 0.609 0.391 0.750
Er 0.728 0.938 0.913
Er 0.938 0.728 0.413
Th 0.249 0.525 0.687
Th 0.475 0.751 0.813
Th 0.525 0.249 0.187
Th 0.751 0.475 0.313

It is one that is most stable; the runner-up trails by 8.6 kJ/mol of atoms.

one.
This record from the Alexandria database describes Ho5ErTh4 after structural relaxation. The functional is GGA-PBE.

Computed properties:
SG = No. 59
total moment = 0.000 μB per cell
mass density = 9.55 Mg/m³

Unit cell a=6.697 b=11.668 c=8.542 alpha=90.00 beta=90.00 gamma=90.00
Sites, in units of the cell vectors:
Ho 0.010 0.034 0.185
Ho 0.010 0.466 0.185
Ho 0.250 0.750 0.795
Ho 0.490 0.034 0.185
Ho 0.490 0.466 0.185
Ho 0.510 0.534 0.815
Ho 0.510 0.966 0.815
Ho 0.750 0.250 0.205
Ho 0.990 0.534 0.815
Ho 0.990 0.966 0.815
Er 0.250 0.250 0.457
Er 0.750 0.750 0.543
Th 0.001 0.750 0.143
Th 0.250 0.604 0.469
Th 0.250 0.896 0.469
Th 0.499 0.750 0.143
Th 0.501 0.250 0.857
Th 0.750 0.104 0.531
Th 0.750 0.396 0.531
Th 0.999 0.250 0.857

two.
This record from the Alexandria database describes Ho5ErTh4 after structural relaxation. The functional is GGA-PBE.

Computed properties:
SG = No. 2
total moment = 0.000 μB per cell
mass density = 9.68 Mg/m³

Unit cell a=3.471 b=9.141 c=10.604 alpha=94.81 beta=90.03 gamma=100.89
Sites, in units of the cell vectors:
Ho 0.000 0.000 0.000
Ho 0.311 0.622 0.905
Ho 0.351 0.704 0.261
Ho 0.649 0.296 0.739
Ho 0.689 0.378 0.095
Er 0.000 0.000 0.500
Th 0.183 0.365 0.416
Th 0.461 0.922 0.747
Th 0.539 0.078 0.253
Th 0.817 0.635 0.584

It is two that is most stable; the runner-up trails by 18.0 kJ/mol of atoms.

one.
This record from the Alexandria database describes HoEr6Th3 after structural relaxation. The functional is GGA-PBE.

Computed properties:
SG = No. 11
total moment = 0.000 μB per cell
mass density = 9.83 Mg/m³

Unit cell a=13.043 b=3.495 c=14.568 alpha=90.00 beta=108.44 gamma=90.00
Sites, in units of the cell vectors:
Ho 0.081 0.250 0.197
Ho 0.919 0.750 0.803
Er 0.140 0.750 0.013
Er 0.155 0.250 0.809
Er 0.215 0.250 0.601
Er 0.259 0.750 0.402
Er 0.339 0.250 0.224
Er 0.393 0.750 0.790
Er 0.607 0.250 0.210
Er 0.661 0.750 0.776
Er 0.741 0.250 0.598
Er 0.785 0.750 0.399
Er 0.845 0.750 0.191
Er 0.860 0.250 0.987
Th 0.006 0.250 0.395
Th 0.385 0.250 0.004
Th 0.466 0.250 0.590
Th 0.534 0.750 0.410
Th 0.615 0.750 0.996
Th 0.994 0.750 0.605

two.
This record from the Alexandria database describes HoEr6Th3 after structural relaxation. The functional is GGA-PBE.

Computed properties:
SG = No. 148
total moment = 0.000 μB per cell
mass density = 9.42 Mg/m³

Unit cell a=6.902 b=6.902 c=6.902 alpha=90.26 beta=90.26 gamma=90.26
Sites, in units of the cell vectors:
Ho 0.000 0.000 0.000
Er 0.080 0.415 0.749
Er 0.251 0.920 0.585
Er 0.415 0.749 0.080
Er 0.585 0.251 0.920
Er 0.749 0.080 0.415
Er 0.920 0.585 0.251
Th 0.249 0.249 0.249
Th 0.500 0.500 0.500
Th 0.751 0.751 0.751

It is one that is most stable; the runner-up trails by 27.4 kJ/mol of atoms.